# 1
Here is an optimized crystal structure of CeTlZnF6 from Alexandria via LeMat-Bulk. Energies are from GGA-PBE.

POSCAR file:
```
CeTlZnF6
1.0
6.012 0.000 0.000
-3.006 5.207 0.000
0.000 0.000 11.218
F Ce Tl Zn
12 2 2 2
Cartesian
4.013 3.161 3.943
4.745 1.895 1.666
-1.738 3.312 9.552
-1.007 2.046 7.275
1.007 2.046 9.552
2.275 0.151 1.666
1.999 3.161 1.666
1.268 1.895 3.943
1.738 3.312 7.275
0.731 5.056 9.552
3.737 0.151 3.943
-0.731 5.056 7.275
3.006 1.736 8.413
0.000 3.471 2.804
0.000 0.000 0.000
0.000 0.000 5.609
0.000 3.471 8.413
3.006 1.736 2.804
```

Properties
**Formation energy (no corrections)**: -2.90 eV per atom
**Symmetry**: No. 163



# 2
Here is an optimized crystal structure of CeTlZn2F8 from Alexandria via LeMat-Bulk. Energies are from GGA-PBE.

POSCAR file:
```
CeTlZn2F8
1.0
-3.659 4.004 -0.975
-2.339 0.445 -4.971
-7.896 -3.335 0.361
F Ce Tl Zn
8 1 1 2
Cartesian
-9.718 -0.821 -3.689
-6.243 3.526 -3.828
-4.176 1.935 -1.897
-4.603 0.966 -4.965
-8.873 2.100 -4.804
-9.291 0.148 -0.620
-5.021 -0.986 -0.781
-7.651 -2.412 -1.757
0.000 0.000 0.000
-6.947 0.557 -2.793
-3.642 0.140 -1.329
-10.252 0.973 -4.256
```

Properties
**Formation energy (no corrections)**: -2.69 eV per atom
**Symmetry**: No. 148



# 3
Here is an optimized crystal structure of Ce2TmF8 from Alexandria via LeMat-Bulk. Energies are from GGA-PBE.

POSCAR file:
```
Ce2TmF8
1.0
3.988 0.000 0.000
0.000 5.375 -0.081
-1.994 -2.393 7.074
Ce Tm F
2 1 8
Cartesian
0.000 2.911 2.436
1.994 0.070 4.557
1.994 0.000 0.000
0.000 0.535 3.092
0.000 1.216 5.692
1.994 4.439 1.966
1.994 2.447 3.901
0.000 4.202 0.259
1.994 1.765 1.301
1.994 -1.221 6.735
0.000 -1.458 5.027
```

Properties
**Formation energy (no corrections)**: -3.87 eV per atom
**Symmetry**: No. 12
**Excess energy over the best structure of this formula in the dataset**: 0 meV per atom



# 4
Here is an optimized crystal structure of Ce2TmF8 from Alexandria via LeMat-Bulk. Energies are from GGA-PBE.

POSCAR file:
```
Ce2TmF8
1.0
-3.801 -1.277 0.577
4.077 -4.464 2.756
-1.380 5.925 4.028
F Ce Tm
8 2 1
Cartesian
-1.336 0.358 6.212
0.233 -0.175 1.148
0.034 2.527 5.823
-1.247 -0.980 3.835
-2.269 1.082 1.666
-1.138 -2.344 1.537
0.144 1.164 3.526
1.166 -0.899 5.694
-2.046 1.565 4.206
0.943 -1.381 3.154
-1.900 -0.639 0.288
```

Properties
**Formation energy (no corrections)**: -3.84 eV per atom
**Symmetry**: No. 12
**Excess energy over the best structure of this formula in the dataset**: 29 meV per atom